Entry 1:
# PBE Ba2TiCuBr, optimized geometry
# Crystal system: tetragonal
# SG: P4/mmm, No. 123
# Energy, eV/atom: -3.35
data_Ba2TiCuBr
_cell_length_a 6.360
_cell_length_b 6.360
_cell_length_c 4.810
_cell_angle_alpha 90.00
_cell_angle_beta 90.00
_cell_angle_gamma 90.00
_symmetry_space_group_name_H-M 'P 1'
_symmetry_Int_Tables_number 1
loop_
_symmetry_equiv_pos_as_xyz
'x,y,z'
loop_
_atom_site_label
_atom_site_type_symbol
_atom_site_fract_x
_atom_site_fract_y
_atom_site_fract_z
Ba1 Ba 0.000 0.500 0.000
Ba2 Ba 0.500 0.000 0.000
Ti1 Ti 0.000 0.000 0.500
Cu1 Cu 0.500 0.500 0.500
Br1 Br 0.000 0.000 0.000

=====

Entry 2:
# PBE BaTlCuBr4, optimized geometry
# Crystal system: monoclinic
# SG: P2_1/m, No. 11
# Energy, eV/atom: -3.40
data_BaTlCuBr4
_cell_length_a 7.298
_cell_length_b 7.383
_cell_length_c 9.224
_cell_angle_alpha 90.00
_cell_angle_beta 107.63
_cell_angle_gamma 90.00
_symmetry_space_group_name_H-M 'P 1'
_symmetry_Int_Tables_number 1
loop_
_symmetry_equiv_pos_as_xyz
'x,y,z'
loop_
_atom_site_label
_atom_site_type_symbol
_atom_site_fract_x
_atom_site_fract_y
_atom_site_fract_z
Ba1 Ba 0.237 0.250 0.057
Ba2 Ba 0.763 0.750 0.943
Tl1 Tl 0.264 0.250 0.560
Tl2 Tl 0.736 0.750 0.440
Cu1 Cu 0.225 0.750 0.811
Cu2 Cu 0.775 0.250 0.189
Br1 Br 0.006 0.505 0.241
Br2 Br 0.006 0.995 0.241
Br3 Br 0.408 0.750 0.086
Br4 Br 0.412 0.750 0.631
Br5 Br 0.588 0.250 0.369
Br6 Br 0.592 0.250 0.914
Br7 Br 0.994 0.005 0.759
Br8 Br 0.994 0.495 0.759

=====

Entry 3:
# PBE BaTlCu2Br8, optimized geometry
# Crystal system: tetragonal
# SG: I-4, No. 82
# Energy, eV/atom: -2.90
data_BaTlCu2Br8
_cell_length_a 9.274
_cell_length_b 9.274
_cell_length_c 9.274
_cell_angle_alpha 135.38
_cell_angle_beta 135.38
_cell_angle_gamma 64.94
_symmetry_space_group_name_H-M 'P 1'
_symmetry_Int_Tables_number 1
loop_
_symmetry_equiv_pos_as_xyz
'x,y,z'
loop_
_atom_site_label
_atom_site_type_symbol
_atom_site_fract_x
_atom_site_fract_y
_atom_site_fract_z
Ba1 Ba 0.000 0.000 0.000
Tl1 Tl 0.250 0.750 0.500
Cu1 Cu 0.500 0.500 0.000
Cu2 Cu 0.750 0.250 0.500
Br1 Br 0.281 0.686 0.116
Br2 Br 0.314 0.430 0.595
Br3 Br 0.416 0.025 0.073
Br4 Br 0.570 0.166 0.884
Br5 Br 0.656 0.584 0.608
Br6 Br 0.834 0.719 0.405
Br7 Br 0.952 0.344 0.927
Br8 Br 0.975 0.048 0.392

=====

Entry 4:
# PBE BaTlCuBr2, optimized geometry
# Offset from the most stable computed form, meV/atom: 0
# Crystal system: tetragonal
# SG: P4/mmm, No. 123
data_BaTlCuBr2
_cell_length_a 6.243
_cell_length_b 6.243
_cell_length_c 6.207
_cell_angle_alpha 90.00
_cell_angle_beta 90.00
_cell_angle_gamma 90.00
_symmetry_space_group_name_H-M 'P 1'
_symmetry_Int_Tables_number 1
loop_
_symmetry_equiv_pos_as_xyz
'x,y,z'
loop_
_atom_site_label
_atom_site_type_symbol
_atom_site_fract_x
_atom_site_fract_y
_atom_site_fract_z
Ba1 Ba 0.000 0.000 0.000
Tl1 Tl 0.500 0.500 0.500
Cu1 Cu 0.000 0.000 0.500
Br1 Br 0.000 0.500 0.000
Br2 Br 0.500 0.000 0.000

=====

Entry 5:
# PBE BaTlCuBr2, optimized geometry
# Offset from the most stable computed form, meV/atom: 272
# Crystal system: tetragonal
# SG: P4/mmm, No. 123
data_BaTlCuBr2
_cell_length_a 6.074
_cell_length_b 6.074
_cell_length_c 10.554
_cell_angle_alpha 90.00
_cell_angle_beta 90.00
_cell_angle_gamma 90.00
_symmetry_space_group_name_H-M 'P 1'
_symmetry_Int_Tables_number 1
loop_
_symmetry_equiv_pos_as_xyz
'x,y,z'
loop_
_atom_site_label
_atom_site_type_symbol
_atom_site_fract_x
_atom_site_fract_y
_atom_site_fract_z
Ba1 Ba 0.000 0.000 0.000
Tl1 Tl 0.000 0.000 0.500
Cu1 Cu 0.500 0.500 0.500
Br1 Br 0.000 0.500 0.000
Br2 Br 0.500 0.000 0.000

=====

Entry 6:
# PBE Ba2ZnCuBr, optimized geometry
# Crystal system: tetragonal
# SG: P4/mmm, No. 123
# Energy, eV/atom: -2.72
data_Ba2ZnCuBr
_cell_length_a 6.233
_cell_length_b 6.233
_cell_length_c 4.636
_cell_angle_alpha 90.00
_cell_angle_beta 90.00
_cell_angle_gamma 90.00
_symmetry_space_group_name_H-M 'P 1'
_symmetry_Int_Tables_number 1
loop_
_symmetry_equiv_pos_as_xyz
'x,y,z'
loop_
_atom_site_label
_atom_site_type_symbol
_atom_site_fract_x
_atom_site_fract_y
_atom_site_fract_z
Ba1 Ba 0.000 0.500 0.000
Ba2 Ba 0.500 0.000 0.000
Zn1 Zn 0.000 0.000 0.500
Cu1 Cu 0.000 0.000 0.000
Br1 Br 0.500 0.500 0.500